No. 1
# CrCd2Hg (GGA-PBE, optimized geometry)
data_CrCd2Hg
_chemical_formula_sum 'Cr1 Cd2 Hg1'
_cell_length_a 4.305
_cell_length_b 4.305
_cell_length_c 4.403
_cell_angle_alpha 90.00
_cell_angle_beta 90.00
_cell_angle_gamma 90.00
_space_group_name_H-M_alt 'P 4/m m m'
_space_group_IT_number 123
_space_group_name_Hall '-P 4 2'
loop_
_atom_site_label
_atom_site_fract_x
_atom_site_fract_y
_atom_site_fract_z
Cr1 0.000 0.000 0.000
Cd1 0.000 0.500 0.500
Hg1 0.500 0.500 0.000
# Energy relative to the elements = 5.84 kcal/mol of atoms

---

No. 2
# Cr3CdHg (GGA-PBE, optimized geometry)
data_Cr3CdHg
_chemical_formula_sum 'Cr3 Cd1 Hg1'
_cell_length_a 5.141
_cell_length_b 5.141
_cell_length_c 5.141
_cell_angle_alpha 90.00
_cell_angle_beta 90.00
_cell_angle_gamma 90.00
_space_group_name_H-M_alt 'P m -3 m'
_space_group_IT_number 221
_space_group_name_Hall '-P 4 2 3'
loop_
_atom_site_label
_atom_site_fract_x
_atom_site_fract_y
_atom_site_fract_z
Cr1 0.000 0.000 0.500
Cd1 0.500 0.500 0.500
Hg1 0.000 0.000 0.000
# Energy relative to the elements = 31.63 kcal/mol of atoms

---

No. 3
# Cr2CdHg2 (GGA-PBE, optimized geometry)
data_Cr2CdHg2
_chemical_formula_sum 'Cr4 Cd2 Hg4'
_cell_length_a 4.182
_cell_length_b 4.182
_cell_length_c 11.427
_cell_angle_alpha 90.00
_cell_angle_beta 90.00
_cell_angle_gamma 90.00
_space_group_name_H-M_alt 'I 4/m m m'
_space_group_IT_number 139
_space_group_name_Hall '-I 4 2'
loop_
_atom_site_label
_atom_site_fract_x
_atom_site_fract_y
_atom_site_fract_z
Cr1 0.000 0.000 0.078
Cd1 0.000 0.000 0.500
Hg1 0.000 0.500 0.250
# Energy relative to the elements = 15.66 kcal/mol of atoms

---

No. 4
# CrCdHg (GGA-PBE, optimized geometry)
data_CrCdHg
_chemical_formula_sum 'Cr1 Cd1 Hg1'
_cell_length_a 4.7606
_cell_length_b 4.7606
_cell_length_c 3.1139
_cell_angle_alpha 90.00
_cell_angle_beta 90.00
_cell_angle_gamma 120.00
_space_group_name_H-M_alt 'P 3 m 1'
_space_group_IT_number 156
loop_
_space_group_symop_operation_xyz
'x,y,z'
'-y,x-y,z'
'-x+y,-x,z'
'-y,-x,z'
'-x+y,y,z'
'x,x-y,z'
loop_
_atom_site_label
_atom_site_fract_x
_atom_site_fract_y
_atom_site_fract_z
Cr1 0.0000 0.0000 0.0000
Cd1 0.3333 0.6667 0.5788
Hg1 0.6667 0.3333 0.3369
# Energy relative to the elements = 9.31 kcal/mol of atoms

---

- What is the formula in the fourth record?
  CrCdHg

---

What did the second record say?
# Cr3CdHg (GGA-PBE, optimized geometry)
data_Cr3CdHg
_chemical_formula_sum 'Cr3 Cd1 Hg1'
_cell_length_a 5.141
_cell_length_b 5.141
_cell_length_c 5.141
_cell_angle_alpha 90.00
_cell_angle_beta 90.00
_cell_angle_gamma 90.00
_space_group_name_H-M_alt 'P m -3 m'
_space_group_IT_number 221
_space_group_name_Hall '-P 4 2 3'
loop_
_atom_site_label
_atom_site_fract_x
_atom_site_fract_y
_atom_site_fract_z
Cr1 0.000 0.000 0.500
Cd1 0.500 0.500 0.500
Hg1 0.000 0.000 0.000
# Energy relative to the elements = 31.63 kcal/mol of atoms